# ZrSb (PBE, relaxed)
data_ZrSb
_chemical_formula_sum 'Zr8 Sb8'
_cell_length_a 9.6450
_cell_length_b 9.6450
_cell_length_c 5.5798
_cell_angle_alpha 90.00
_cell_angle_beta 90.00
_cell_angle_gamma 90.00
_symmetry_space_group_name_H-M 'I 4/m'
_symmetry_Int_Tables_number 87
_symmetry_space_group_name_Hall '-I 4'
loop_
_atom_site_label
_atom_site_type_symbol
_atom_site_fract_x
_atom_site_fract_y
_atom_site_fract_z
Zr1 Zr 0.0980 0.3707 0.0000
Sb1 Sb 0.1327 0.2779 0.5000
# **Crystal system**: tetragonal
# **Final energy**: -6.7080 eV per atom
# **Raw formation energy**: -0.373 eV/atom

# Zr3Sb (PBE, relaxed)
data_Zr3Sb
_chemical_formula_sum 'Zr6 Sb2'
_cell_length_a 10.1420
_cell_length_b 3.5608
_cell_length_c 5.1919
_cell_angle_alpha 90.00
_cell_angle_beta 104.09
_cell_angle_gamma 90.00
_symmetry_space_group_name_H-M 'C 1 2/m 1'
_symmetry_Int_Tables_number 12
_symmetry_space_group_name_Hall '-C 2y'
loop_
_atom_site_label
_atom_site_type_symbol
_atom_site_fract_x
_atom_site_fract_y
_atom_site_fract_z
Zr1 Zr 0.0000 0.0000 0.0000
Zr2 Zr 0.2407 0.0000 0.7341
Sb1 Sb 0.0000 0.5000 0.5000
# **Crystal system**: monoclinic
# **Final energy**: -7.7529 eV per atom
# **Raw formation energy**: -0.311 eV/atom